(1)
# Tm5Ir2Pb2, relaxed, DFT GGA-PBE
# Density of states at the Fermi level   0.698 states/eV per atom
# Formation energy from the elements   -0.682 eV/atom
# Size of the total moment   0.0 μB/cell
data_Tm5Ir2Pb2
_space_group_name_H-M_alt 'C m c e'
_space_group_IT_number 64
_space_group_name_Hall '-C 2ac 2'
_cell_length_a 15.589
_cell_length_b 8.183
_cell_length_c 7.245
_cell_angle_alpha 90.00
_cell_angle_beta 90.00
_cell_angle_gamma 90.00
loop_
_atom_site_label
_atom_site_type_symbol
_atom_site_fract_x
_atom_site_fract_y
_atom_site_fract_z
Tm1 Tm 0.000 0.000 0.000
Tm2 Tm 0.116 0.174 0.346
Ir1 Ir 0.000 0.130 0.639
Pb1 Pb 0.216 0.000 0.000

(2)
# TmIrPb, relaxed, DFT GGA-PBE
# Density of states at the Fermi level   1.363 states/eV per atom
# Formation energy from the elements   -0.465 eV/atom
# Size of the total moment   0.0 μB/cell
data_TmIrPb
_space_group_name_H-M_alt 'F -4 3 m'
_space_group_IT_number 216
_space_group_name_Hall 'F -4 2 3'
_cell_length_a 6.649
_cell_length_b 6.649
_cell_length_c 6.649
_cell_angle_alpha 90.00
_cell_angle_beta 90.00
_cell_angle_gamma 90.00
loop_
_atom_site_label
_atom_site_type_symbol
_atom_site_fract_x
_atom_site_fract_y
_atom_site_fract_z
Tm1 Tm 0.000 0.000 0.000
Ir1 Ir 0.250 0.250 0.250
Pb1 Pb 0.000 0.000 0.500

(3)
# Tm12IrPb6, relaxed, DFT GGA-PBE
# Density of states at the Fermi level   0.925 states/eV per atom
# Formation energy from the elements   -0.285 eV/atom
# Size of the total moment   0.0 μB/cell
data_Tm12IrPb6
_space_group_name_H-M_alt 'R -3'
_space_group_IT_number 148
_space_group_name_Hall '-R 3'
_cell_length_a 13.0910
_cell_length_b 13.0910
_cell_length_c 12.1003
_cell_angle_alpha 90.00
_cell_angle_beta 90.00
_cell_angle_gamma 120.00
loop_
_atom_site_label
_atom_site_type_symbol
_atom_site_fract_x
_atom_site_fract_y
_atom_site_fract_z
Tm1 Tm 0.0284 0.1861 0.3887
Tm2 Tm 0.0638 0.1923 0.8789
Ir1 Ir 0.0000 0.0000 0.0000
Pb1 Pb 0.0434 0.2868 0.6375

(4)
# Tm2IrPb2, relaxed, DFT GGA-PBE
# Density of states at the Fermi level   0.605 states/eV per atom
# Formation energy from the elements   -0.486 eV/atom
# Size of the total moment   0.0 μB/cell
data_Tm2IrPb2
_space_group_name_H-M_alt 'I 4/m m m'
_space_group_IT_number 139
_space_group_name_Hall '-I 4 2'
_cell_length_a 3.454
_cell_length_b 3.454
_cell_length_c 21.519
_cell_angle_alpha 90.00
_cell_angle_beta 90.00
_cell_angle_gamma 90.00
loop_
_atom_site_label
_atom_site_type_symbol
_atom_site_fract_x
_atom_site_fract_y
_atom_site_fract_z
Tm1 Tm 0.000 0.000 0.075
Ir1 Ir 0.000 0.000 0.500
Pb1 Pb 0.000 0.000 0.311

(5)
# Tm8Ir3Pb2, relaxed, DFT GGA-PBE
# Density of states at the Fermi level   0.469 states/eV per atom
# Formation energy from the elements   -0.623 eV/atom
# Size of the total moment   0.0 μB/cell
data_Tm8Ir3Pb2
_space_group_name_H-M_alt 'C m m m'
_space_group_IT_number 65
_space_group_name_Hall '-C 2 2'
_cell_length_a 9.688
_cell_length_b 14.937
_cell_length_c 4.817
_cell_angle_alpha 90.00
_cell_angle_beta 90.00
_cell_angle_gamma 90.00
loop_
_atom_site_label
_atom_site_type_symbol
_atom_site_fract_x
_atom_site_fract_y
_atom_site_fract_z
Tm1 Tm 0.000 0.107 0.000
Tm2 Tm 0.000 0.388 0.000
Tm3 Tm 0.246 0.390 0.500
Ir1 Ir 0.000 0.500 0.500
Ir2 Ir 0.250 0.000 0.000
Pb1 Pb 0.000 0.244 0.500

(6)
# Tm5Ir2Pb, relaxed, DFT GGA-PBE
# Density of states at the Fermi level   0.885 states/eV per atom
# Formation energy from the elements   -0.733 eV/atom
# Size of the total moment   0.0 μB/cell
data_Tm5Ir2Pb
_space_group_name_H-M_alt 'I 4/m c m'
_space_group_IT_number 140
_space_group_name_Hall '-I 4 2c'
_cell_length_a 7.715
_cell_length_b 7.715
_cell_length_c 13.416
_cell_angle_alpha 90.00
_cell_angle_beta 90.00
_cell_angle_gamma 90.00
loop_
_atom_site_label
_atom_site_type_symbol
_atom_site_fract_x
_atom_site_fract_y
_atom_site_fract_z
Tm1 Tm 0.000 0.000 0.000
Tm2 Tm 0.157 0.343 0.132
Ir1 Ir 0.141 0.359 0.500
Pb1 Pb 0.000 0.000 0.250

(7)
# Tm4IrPb2, relaxed, DFT GGA-PBE
# Density of states at the Fermi level   0.636 states/eV per atom
# Formation energy from the elements   -0.569 eV/atom
# Energy above the most stable polymorph in this dataset   0 meV per atom
# Size of the total moment   0.0 μB/cell
data_Tm4IrPb2
_space_group_name_H-M_alt 'C 1 2/m 1'
_space_group_IT_number 12
_cell_length_a 11.419
_cell_length_b 4.521
_cell_length_c 8.667
_cell_angle_alpha 90.00
_cell_angle_beta 121.79
_cell_angle_gamma 90.00
loop_
_space_group_symop_operation_xyz
'x,y,z'
'-x,-y,-z'
'-x,y,-z'
'x,-y,z'
'x+1/2,y+1/2,z'
'-x+1/2,-y+1/2,-z'
'-x+1/2,y+1/2,-z'
'x+1/2,-y+1/2,z'
loop_
_atom_site_label
_atom_site_type_symbol
_atom_site_fract_x
_atom_site_fract_y
_atom_site_fract_z
Tm1 Tm 0.064 0.000 0.347
Tm2 Tm 0.164 0.500 0.058
Ir1 Ir 0.000 0.000 0.000
Pb1 Pb 0.157 0.500 0.665

(8)
# Tm2IrPb, relaxed, DFT GGA-PBE
# Density of states at the Fermi level   0.252 states/eV per atom
# Formation energy from the elements   -0.709 eV/atom
# Energy above the most stable polymorph in this dataset   0 meV per atom
# Size of the total moment   0.0 μB/cell
data_Tm2IrPb
_space_group_name_H-M_alt 'P 4/m m m'
_space_group_IT_number 123
_space_group_name_Hall '-P 4 2'
_cell_length_a 3.459
_cell_length_b 3.459
_cell_length_c 7.931
_cell_angle_alpha 90.00
_cell_angle_beta 90.00
_cell_angle_gamma 90.00
loop_
_atom_site_label
_atom_site_type_symbol
_atom_site_fract_x
_atom_site_fract_y
_atom_site_fract_z
Tm1 Tm 0.000 0.000 0.203
Ir1 Ir 0.500 0.500 0.000
Pb1 Pb 0.500 0.500 0.500

(9)
# Tm2IrPb, relaxed, DFT GGA-PBE
# Density of states at the Fermi level   0.460 states/eV per atom
# Formation energy from the elements   -0.513 eV/atom
# Energy above the most stable polymorph in this dataset   196 meV per atom
# Size of the total moment   0.0 μB/cell
data_Tm2IrPb
_space_group_name_H-M_alt 'P 4/m m m'
_space_group_IT_number 123
_space_group_name_Hall '-P 4 2'
_cell_length_a 4.850
_cell_length_b 4.850
_cell_length_c 3.882
_cell_angle_alpha 90.00
_cell_angle_beta 90.00
_cell_angle_gamma 90.00
loop_
_atom_site_label
_atom_site_type_symbol
_atom_site_fract_x
_atom_site_fract_y
_atom_site_fract_z
Tm1 Tm 0.000 0.500 0.000
Ir1 Ir 0.000 0.000 0.500
Pb1 Pb 0.500 0.500 0.500

(10)
# Tm4Ir2Pb, relaxed, DFT GGA-PBE
# Density of states at the Fermi level   0.641 states/eV per atom
# Formation energy from the elements   -0.524 eV/atom
# Size of the total moment   0.0 μB/cell
data_Tm4Ir2Pb
_space_group_name_H-M_alt 'F d d d'
_space_group_IT_number 70
_cell_length_a 9.239
_cell_length_b 12.915
_cell_length_c 12.933
_cell_angle_alpha 90.00
_cell_angle_beta 90.00
_cell_angle_gamma 90.00
loop_
_space_group_symop_operation_xyz
'x,y,z'
'-x,-y,-z'
'-x+1/4,-y+1/4,z'
'x+1/4,y+1/4,-z'
'x,-y+1/4,-z+1/4'
'-x,y+1/4,z+1/4'
'-x+1/4,y,-z+1/4'
'x+1/4,-y,z+1/4'
'x,y+1/2,z+1/2'
'-x,-y+1/2,-z+1/2'
'-x+1/4,-y+3/4,z+1/2'
'x+1/4,y+3/4,-z+1/2'
'x,-y+3/4,-z+3/4'
'-x,y+3/4,z+3/4'
'-x+1/4,y+1/2,-z+3/4'
'x+1/4,-y+1/2,z+3/4'
'x+1/2,y,z+1/2'
'-x+1/2,-y,-z+1/2'
'-x+3/4,-y+1/4,z+1/2'
'x+3/4,y+1/4,-z+1/2'
'x+1/2,-y+1/4,-z+3/4'
'-x+1/2,y+1/4,z+3/4'
'-x+3/4,y,-z+3/4'
'x+3/4,-y,z+3/4'
'x+1/2,y+1/2,z'
'-x+1/2,-y+1/2,-z'
'-x+3/4,-y+3/4,z'
'x+3/4,y+3/4,-z'
'x+1/2,-y+3/4,-z+1/4'
'-x+1/2,y+3/4,z+1/4'
'-x+3/4,y+1/2,-z+1/4'
'x+3/4,-y+1/2,z+1/4'
loop_
_atom_site_label
_atom_site_type_symbol
_atom_site_fract_x
_atom_site_fract_y
_atom_site_fract_z
Tm1 Tm 0.033 0.285 0.465
Ir1 Ir 0.000 0.000 0.000
Pb1 Pb 0.125 0.125 0.625

(11)
# Tm4Ir2Pb5, relaxed, DFT GGA-PBE
# Density of states at the Fermi level   0.362 states/eV per atom
# Formation energy from the elements   -0.542 eV/atom
# Size of the total moment   0.0 μB/cell
data_Tm4Ir2Pb5
_space_group_name_H-M_alt 'P 1 2/m 1'
_space_group_IT_number 10
_cell_length_a 8.054
_cell_length_b 3.580
_cell_length_c 9.855
_cell_angle_alpha 90.00
_cell_angle_beta 93.93
_cell_angle_gamma 90.00
loop_
_space_group_symop_operation_xyz
'x,y,z'
'-x,-y,-z'
'-x,y,-z'
'x,-y,z'
loop_
_atom_site_label
_atom_site_type_symbol
_atom_site_fract_x
_atom_site_fract_y
_atom_site_fract_z
Tm1 Tm 0.193 0.000 0.433
Tm2 Tm 0.197 0.000 0.837
Ir1 Ir 0.084 0.500 0.637
Pb1 Pb 0.143 0.500 0.134
Pb2 Pb 0.463 0.500 0.662
Pb3 Pb 0.500 0.500 0.000

(12)
# YTmIrPb, relaxed, DFT GGA-PBE
# Density of states at the Fermi level   0.366 states/eV per atom
# Formation energy from the elements   -0.690 eV/atom
# Energy above the most stable polymorph in this dataset   0 meV per atom
# Size of the total moment   0.0 μB/cell
data_YTmIrPb
_space_group_name_H-M_alt 'P 4 m m'
_space_group_IT_number 99
_cell_length_a 3.483
_cell_length_b 3.483
_cell_length_c 7.976
_cell_angle_alpha 90.00
_cell_angle_beta 90.00
_cell_angle_gamma 90.00
loop_
_space_group_symop_operation_xyz
'x,y,z'
'-y,x,z'
'-x,-y,z'
'y,-x,z'
'-x,y,z'
'y,x,z'
'x,-y,z'
'-y,-x,z'
loop_
_atom_site_label
_atom_site_type_symbol
_atom_site_fract_x
_atom_site_fract_y
_atom_site_fract_z
Y1 Y 0.000 0.000 0.000
Tm1 Tm 0.000 0.000 0.591
Ir1 Ir 0.500 0.500 0.788
Pb1 Pb 0.500 0.500 0.299

Calculated volume in order - 924.2 294.0 1795.9 256.7 697.0 798.5 380.3 94.9 91.3 1543.1 283.5 96.7 Å³/cell